# Ta2GaWF

Crystalline Ta2GaWF at its relaxed geometry (PBE with a Hubbard U, Alexandria).

Lattice parameters (Å, degrees): 4.916 4.916 5.003 90.00 90.00 90.00
Element x y z (fractional)
Ta1 0.000 0.500 0.000
Ta2 0.500 0.000 0.000
Ga1 0.000 0.000 0.500
W1 0.000 0.000 0.000
F1 0.500 0.500 0.500

Output
symmetry = P4/mmm, No. 123
total DFT energy (no corrections) = -28.643 eV/cell